1.
Y2TlHg2 | PBE | optimized geometry

a b c (Å): 8.534 8.534 3.812
angles (deg): 90.00 90.00 90.00
Fractional positions:
Y 0.341 0.841 0.000
Y 0.841 0.659 0.000
Y 0.659 0.159 0.000
Y 0.159 0.341 0.000
Tl 0.000 0.000 0.000
Tl 0.500 0.500 0.000
Hg 0.139 0.639 0.500
Hg 0.639 0.861 0.500
Hg 0.861 0.361 0.500
Hg 0.361 0.139 0.500

Values from the calculation:
- electronic total energy (eV/f.u.) = -17.41
- DFT formation energy (eV per atom) = -0.303
- SG = P4/mbm, No. 127
- DOS(E_F) (states/eV/f.u.) = 3.53
- energy relative to the lowest polymorph listed for this composition (eV/atom) = 0.095

---

2.
K2TlW | PBE | optimized geometry

a b c (Å): 6.314 6.314 6.314
angles (deg): 133.79 122.08 77.11
Fractional positions:
K 0.024 0.024 0.000
K 0.719 0.219 0.500
Tl 0.436 0.436 0.000
W 0.321 0.821 0.500

Values from the calculation:
- electronic total energy (eV/f.u.) = -12.65
- DFT formation energy (eV per atom) = 1.216
- SG = Imm2, No. 44
- DOS(E_F) (states/eV/f.u.) = 1.87
- energy relative to the lowest polymorph listed for this composition (eV/atom) = 0.236

---

3.
Nb2BW | PBE | optimized geometry

a b c (Å): 7.522 7.522 5.781
angles (deg): 49.42 49.42 90.00
Fractional positions:
Nb 0.522 0.125 0.250
Nb 0.228 0.625 0.250
Nb 0.375 0.478 0.750
Nb 0.875 0.772 0.750
B 0.500 0.500 0.000
B 0.250 0.750 0.500
W 0.000 0.000 0.000
W 0.750 0.250 0.500

Values from the calculation:
- electronic total energy (eV/f.u.) = -38.38
- DFT formation energy (eV per atom) = 0.347
- SG = I-42d, No. 122
- DOS(E_F) (states/eV/f.u.) = 4.82

---

4.
LiLa2Sc | PBE | optimized geometry

a b c (Å): 11.409 11.409 11.409
angles (deg): 17.89 17.89 17.89
Fractional positions:
Sc 0.750 0.750 0.750
Li 0.250 0.250 0.250
La 0.002 0.002 0.002
La 0.498 0.498 0.498

Values from the calculation:
- electronic total energy (eV/f.u.) = -17.72
- DFT formation energy (eV per atom) = 0.095
- SG = R-3m, No. 166
- DOS(E_F) (states/eV/f.u.) = 3.55
- energy relative to the lowest polymorph listed for this composition (eV/atom) = 0.007